This record from Alexandria via LeMat-Bulk describes a geometry-optimized PmMgNpO6 structure. The functional is PBE.

Computed properties:
E_form (uncorrected): -2.8589 eV per atom
E: -8.31 eV per atom
spin magnetization: 0.0 Bohr magnetons per cell
crystal system: trigonal

The structure in CIF format:
```
data_PmMgNpO6
_chemical_formula_sum 'Pm2 Mg2 Np2 O12'
_symmetry_space_group_name_H-M 'P -3 1 c'
_symmetry_Int_Tables_number 163
_symmetry_space_group_name_Hall '-P 3 2c'
_cell_length_a 5.4191
_cell_length_b 5.4191
_cell_length_c 10.0665
_cell_angle_alpha 90.00
_cell_angle_beta 90.00
_cell_angle_gamma 120.00
loop_
_atom_site_label
_atom_site_type_symbol
_atom_site_fract_x
_atom_site_fract_y
_atom_site_fract_z
Pm1 Pm 0.0000 0.0000 0.0000
Mg1 Mg 0.3333 0.6667 0.2500
Np1 Np 0.3333 0.6667 0.7500
O1 O 0.0118 0.3616 0.6402
```



This record from Alexandria via LeMat-Bulk describes a geometry-optimized LaZn2Rh2 structure. The functional is PBE.

Computed properties:
ΔH_f (0 K): -437 meV/atom
E: -4.87 eV per atom
spin magnetization: 0.0 Bohr magnetons per cell
crystal system: monoclinic

The structure in CIF format:
```
data_LaZn2Rh2
_chemical_formula_sum 'La4 Zn8 Rh8'
_symmetry_space_group_name_H-M 'C 1 2/c 1'
_symmetry_Int_Tables_number 15
_cell_length_a 5.8993
_cell_length_b 9.5005
_cell_length_c 7.4826
_cell_angle_alpha 90.00
_cell_angle_beta 113.16
_cell_angle_gamma 90.00
loop_
_symmetry_equiv_pos_as_xyz
'x,y,z'
'-x,-y,-z'
'-x,y,-z+1/2'
'x,-y,z+1/2'
'x+1/2,y+1/2,z'
'-x+1/2,-y+1/2,-z'
'-x+1/2,y+1/2,-z+1/2'
'x+1/2,-y+1/2,z+1/2'
loop_
_atom_site_label
_atom_site_type_symbol
_atom_site_fract_x
_atom_site_fract_y
_atom_site_fract_z
La1 La 0.0000 0.1252 0.2500
Zn1 Zn 0.1015 0.3749 0.9525
Rh1 Rh 0.0000 0.1492 0.7500
Rh2 Rh 0.0000 0.3995 0.2500
```



This record from Alexandria via LeMat-Bulk describes a geometry-optimized Pr2AgH12Rh3 structure. The functional is PBE.

Computed properties:
E: -4.38 eV per atom
spin magnetization: 1.9 Bohr magnetons per cell
crystal system: trigonal

The structure in CIF format:
```
data_Pr2AgH12Rh3
_chemical_formula_sum 'Pr6 Ag3 H36 Rh9'
_symmetry_space_group_name_H-M 'R -3 m'
_symmetry_Int_Tables_number 166
_symmetry_space_group_name_Hall '-R 3 2"'
_cell_length_a 6.2723
_cell_length_b 6.2723
_cell_length_c 14.8586
_cell_angle_alpha 90.00
_cell_angle_beta 90.00
_cell_angle_gamma 120.00
loop_
_atom_site_label
_atom_site_type_symbol
_atom_site_fract_x
_atom_site_fract_y
_atom_site_fract_z
Pr1 Pr 0.0000 0.0000 0.1166
Ag1 Ag 0.0000 0.0000 0.5000
H1 H 0.0078 0.5039 0.8863
H2 H 0.0260 0.5130 0.3355
Rh1 Rh 0.0000 0.5000 0.0000
```



This record from Alexandria via LeMat-Bulk describes a geometry-optimized Fe2PPb structure. The functional is PBE.

Computed properties:
ΔH_f (0 K): 659 meV/atom
E: -5.85 eV per atom
spin magnetization: 10.5 Bohr magnetons per cell
crystal system: monoclinic

The structure in CIF format:
```
data_Fe2PPb
_chemical_formula_sum 'Fe4 P2 Pb2'
_symmetry_space_group_name_H-M 'C 1 2/m 1'
_symmetry_Int_Tables_number 12
_cell_length_a 5.8047
_cell_length_b 8.2243
_cell_length_c 3.1004
_cell_angle_alpha 90.00
_cell_angle_beta 115.43
_cell_angle_gamma 90.00
loop_
_symmetry_equiv_pos_as_xyz
'x,y,z'
'-x,-y,-z'
'-x,y,-z'
'x,-y,z'
'x+1/2,y+1/2,z'
'-x+1/2,-y+1/2,-z'
'-x+1/2,y+1/2,-z'
'x+1/2,-y+1/2,z'
loop_
_atom_site_label
_atom_site_type_symbol
_atom_site_fract_x
_atom_site_fract_y
_atom_site_fract_z
Fe1 Fe 0.2500 0.2500 0.0000
P1 P 0.0000 0.0000 0.5000
Pb1 Pb 0.0000 0.5000 0.5000
```



This record from Alexandria via LeMat-Bulk describes a geometry-optimized TiNi12Ge3 structure. The functional is PBE.

Computed properties:
ΔH_f (0 K): -336 meV/atom
E: -6.03 eV per atom
spin magnetization: 0.0 Bohr magnetons per cell
crystal system: tetragonal

The structure in CIF format:
```
data_TiNi12Ge3
_chemical_formula_sum 'Ti1 Ni12 Ge3'
_symmetry_space_group_name_H-M 'P 4/m m m'
_symmetry_Int_Tables_number 123
_symmetry_space_group_name_Hall '-P 4 2'
_cell_length_a 3.5897
_cell_length_b 3.5897
_cell_length_c 14.2908
_cell_angle_alpha 90.00
_cell_angle_beta 90.00
_cell_angle_gamma 90.00
loop_
_atom_site_label
_atom_site_type_symbol
_atom_site_fract_x
_atom_site_fract_y
_atom_site_fract_z
Ti1 Ti 0.0000 0.0000 0.0000
Ni1 Ni 0.0000 0.5000 0.1259
Ni2 Ni 0.0000 0.5000 0.3752
Ni3 Ni 0.5000 0.5000 0.0000
Ni4 Ni 0.5000 0.5000 0.2512
Ni5 Ni 0.5000 0.5000 0.5000
Ge1 Ge 0.0000 0.0000 0.2509
Ge2 Ge 0.0000 0.0000 0.5000
```



This record from Alexandria via LeMat-Bulk describes a geometry-optimized YErGa6 structure. The functional is PBE.

Computed properties:
ΔH_f (0 K): -523 meV/atom
E: -4.17 eV per atom
spin magnetization: 0.0 Bohr magnetons per cell
crystal system: hexagonal

The structure in CIF format:
```
data_YErGa6
_chemical_formula_sum 'Y1 Er1 Ga6'
_symmetry_space_group_name_H-M 'P -6 m 2'
_symmetry_Int_Tables_number 187
_symmetry_space_group_name_Hall 'P -6 2'
_cell_length_a 6.2401
_cell_length_b 6.2401
_cell_length_c 4.5937
_cell_angle_alpha 90.00
_cell_angle_beta 90.00
_cell_angle_gamma 120.00
loop_
_atom_site_label
_atom_site_type_symbol
_atom_site_fract_x
_atom_site_fract_y
_atom_site_fract_z
Y1 Y 0.0000 0.0000 0.0000
Er1 Er 0.6667 0.3333 0.5000
Ga1 Ga 0.0376 0.5188 0.0000
Ga2 Ga 0.1864 0.3728 0.5000
```